(1)
Crystalline TmGa2Pd at its relaxed geometry. Source: Alexandria via LeMat-Bulk, functional GGA-PBE.

ΔE_f = -0.582 eV/atom

a = 6.607 Å, b = 6.607 Å, c = 6.607 Å
α = 90.00°, β = 90.00°, γ = 90.00°
Space group Fm-3m (No. 225)
Asymmetric unit:
Tm: 0.000 0.000 0.000 x4
Ga: 0.250 0.250 0.250 x8
Pd: 0.000 0.000 0.500 x4

***

(2)
Crystalline In2AsHO at its relaxed geometry. Source: Alexandria via LeMat-Bulk, functional GGA-PBE.

Total energy = -3.376 eV/atom

a = 5.546 Å, b = 5.546 Å, c = 3.960 Å
α = 90.00°, β = 90.00°, γ = 90.00°
Space group P4/mmm (No. 123)
Asymmetric unit:
In: 0.000 0.500 0.000 x2
As: 0.000 0.000 0.500 x1
H: 0.500 0.500 0.500 x1
O: 0.000 0.000 0.000 x1